Entry 1:
Eu3Cu PBE-GGA optimized geometry; energy relative to the elements = 15 meV per atom; V = 32.88 Å³/atom; size of the total moment = 7.65 μB per formula unit; VASP energy = -34.859 eV/f.u.
1.0
-1.8641 6.1594 2.8640
1.8641 -6.1594 2.8640
1.8641 6.1594 -2.8640
Eu Cu
3 1
direct
0.0000 0.0000 0.0000
0.3079 0.5006 0.8073
0.6933 0.5006 0.1927
0.4987 0.9987 0.5000

=====

Entry 2:
EuCu2 PBE-GGA optimized geometry; energy relative to the elements = -138 meV per atom; V = 19.71 Å³/atom; size of the total moment = 7.07 μB per formula unit; VASP energy = -18.879 eV/f.u.
1.0
-2.1955 3.5902 3.7512
2.1955 -3.5902 3.7512
2.1955 3.5902 -3.7512
Eu Cu
2 4
direct
0.2955 0.0455 0.2500
0.7045 0.9545 0.7500
0.1059 0.6637 0.4423
0.2786 0.3363 0.9423
0.7214 0.6637 0.0577
0.8941 0.3363 0.5577

=====

Entry 3:
EuCu PBE-GGA optimized geometry; energy relative to the elements = -79 meV per atom; V = 24.05 Å³/atom; size of the total moment = 7.25 μB per formula unit; VASP energy = -14.529 eV/f.u.
1.0
3.6369 0.0000 0.0000
0.0000 3.6369 0.0000
0.0000 0.0000 3.6369
Eu Cu
1 1
direct
0.0000 0.0000 0.0000
0.5000 0.5000 0.5000

=====

Entry 4:
EuCu PBE-GGA optimized geometry; energy relative to the elements = -152 meV per atom; V = 25.33 Å³/atom; size of the total moment = 7.29 μB per formula unit; VASP energy = -14.674 eV/f.u.
1.0
7.8719 0.0000 0.0000
0.0000 4.3156 0.0000
0.0000 0.0000 5.9653
Eu Cu
4 4
direct
0.1786 0.2500 0.1255
0.3214 0.7500 0.6255
0.6786 0.2500 0.3745
0.8214 0.7500 0.8745
0.0307 0.2500 0.6052
0.4693 0.7500 0.1052
0.5307 0.2500 0.8948
0.9693 0.7500 0.3948

=====

Entry 5:
EuCu2 PBE-GGA optimized geometry; energy relative to the elements = -57 meV per atom; V = 18.33 Å³/atom; size of the total moment = 7.28 μB per formula unit; VASP energy = -18.639 eV/f.u.
1.0
0.0000 3.8030 3.8030
3.8030 0.0000 3.8030
3.8030 3.8030 0.0000
Eu Cu
2 4
direct
0.1250 0.1250 0.1250
0.8750 0.8750 0.8750
0.0000 0.5000 0.5000
0.5000 0.0000 0.5000
0.5000 0.5000 0.0000
0.5000 0.5000 0.5000

=====

Entry 6:
EuCu5 PBE-GGA optimized geometry; energy relative to the elements = -115 meV per atom; V = 15.68 Å³/atom; size of the total moment = 7.17 μB per formula unit; VASP energy = -31.446 eV/f.u.
1.0
5.1839 0.0000 0.0000
-2.5920 4.4894 0.0000
0.0000 0.0000 4.0427
Eu Cu
1 5
direct
0.0000 0.0000 0.0000
0.0000 0.5000 0.5000
0.3333 0.6667 0.0000
0.5000 0.0000 0.5000
0.5000 0.5000 0.5000
0.6667 0.3333 0.0000

=====

Entry 7:
EuCu PBE-GGA optimized geometry; energy relative to the elements = 71 meV per atom; V = 27.95 Å³/atom; size of the total moment = 7.20 μB per formula unit; VASP energy = -14.229 eV/f.u.
1.0
0.0000 3.0348 3.0348
3.0348 0.0000 3.0348
3.0348 3.0348 0.0000
Eu Cu
1 1
direct
0.0000 0.0000 0.0000
0.5000 0.5000 0.5000

=====

Entry 8:
EuCuTeF PBE-GGA optimized geometry; formation energy (no corrections) = -7.41 eV per formula unit; V = 20.49 Å³/atom; size of the total moment = 7.00 μB per formula unit; VASP energy = -26.791 eV/f.u.
1.0
4.2200 0.0000 0.0000
0.0000 4.2200 0.0000
0.0000 0.0000 9.2028
Eu Cu Te F
2 2 2 2
direct
0.2500 0.2500 0.1530
0.7500 0.7500 0.8470
0.2500 0.7500 0.5000
0.7500 0.2500 0.5000
0.2500 0.2500 0.6779
0.7500 0.7500 0.3221
0.2500 0.7500 0.0000
0.7500 0.2500 0.0000